Record 1
Entry from Alexandria via LeMat-Bulk: a relaxed Tm5CoSe4 crystal (GGA-PBE).

Results
formation energy without anion corrections: -1.3834 eV per atom

Unit cell a=8.9997 b=8.9997 c=5.7043 alpha=90.00 beta=90.00 gamma=90.00
Closest atoms and distances in Å follow each position.
Space group I4/m (No. 87)
Symmetry-distinct sites (fractional):
1 Tm 0.0000 0.0000 0.0000 x2  2 Co 2.85, 4 Se 2.89
2 Tm 0.0925 0.7310 0.5000 x8  1 Co 2.56, 1 Se 2.85
3 Co 0.0000 0.0000 0.5000 x2  6 Tm 2.56-2.85
4 Se 0.0915 0.6917 0.0000 x8  6 Tm 2.85-3.04

Record 2
Entry from Alexandria via LeMat-Bulk: a relaxed TmCoSe crystal (GGA-PBE).

Results
formation energy without anion corrections: -0.7902 eV per atom

Unit cell a=3.9955 b=3.9955 c=31.8591 alpha=90.00 beta=90.00 gamma=120.00
Closest atoms and distances in Å follow each position.
Space group R-3m (No. 166, hexagonal axes)
Symmetry-distinct sites (fractional):
1 Tm 0.0000 0.0000 0.0638 x6  3 Se 2.72, 3 Co 3.01
2 Co 0.0000 0.0000 0.3303 x6  3 Co 2.31
3 Se 0.0000 0.0000 0.2246 x6  3 Tm 2.72

Record 3
Entry from Alexandria via LeMat-Bulk: a relaxed Tm7Co2Se2 crystal (GGA-PBE).

Results
formation energy without anion corrections: -0.7636 eV per atom

Unit cell a=3.7439 b=14.9410 c=9.1152 alpha=90.00 beta=90.00 gamma=90.00
Closest atoms and distances in Å follow each position.
Space group Imm2 (No. 44)
Symmetry-distinct sites (fractional):
1 Tm 0.0000 0.0000 0.0000 x2  3 Se 3.00-3.09
2 Tm 0.0000 0.1264 0.5862 x4  2 Co 2.74, 3 Se 2.94-3.02
3 Tm 0.0000 0.3148 0.3789 x4  3 Co 2.71-2.99, 1 Se 3.03
4 Tm 0.0000 0.3573 0.7380 x4  2 Co 2.80, 2 Se 2.98
5 Co 0.0000 0.2395 0.0746 x4  7 Tm 2.71-2.99
6 Se 0.0000 0.0000 0.3390 x2  7 Tm 2.94-3.09
7 Se 0.0000 0.5000 0.2422 x2  8 Tm 3.00-3.03

> Which value of formation energy without anion corrections does entry 1 give?

-1.3834 eV per atom